An optimized crystal structure of CaMgInGe, computed with PBE.

DFT total energy in eV/atom: -2.99
V in Å³/cell: 381
M_tot in μB/atom: 0.00

a = 7.2511 Å, b = 7.2511 Å, c = 7.2511 Å
α = 90.00°, β = 90.00°, γ = 90.00°
Last column: nearest neighbours and their distance in Å.
Space group F-43m (No. 216)
Symmetry-distinct sites (fractional):
1 Ca 0.0000 0.0000 0.0000 [4 per cell]  4 Ge 3.14, 4 In 3.14
2 Mg 0.0000 0.0000 0.5000 [4 per cell]  4 Ge 3.14, 4 In 3.14
3 In 0.2500 0.2500 0.2500 [4 per cell]  4 Mg 3.14, 4 Ca 3.14
4 Ge 0.2500 0.2500 0.7500 [4 per cell]  4 Mg 3.14, 4 Ca 3.14